KTcPt2: relaxed, PBEsol.

* energy above the most stable polymorph in this dataset: 57 meV per atom
* theoretical density: 11.20 g/cm³
* size of the total moment: 0.0 Bohr magnetons per cell

Cell: 2.6881 4.3401 6.7017 Å, 90.00 91.44 90.00°
With the nearest neighbours (Å) after each atom.
Atoms (fractional coordinates):
K: 0.3537 0.5000 0.7673  2 K 2.69
Pt: 0.8710 0.0000 0.0519  2 Tc 2.66, 4 Pt 2.68-2.69
Pt: 0.8834 0.5000 0.2869  4 Tc 2.65, 4 Pt 2.68-2.69
Tc: 0.3920 0.0000 0.3939  6 Pt 2.65-2.66, 2 Tc 2.69

***

SeN: relaxed, PBEsol.

* VASP energy: -12.208 eV/f.u.
* theoretical density: 3.05 g/cm³
* size of the total moment: 0.0 Bohr magnetons per cell

Cell: 3.5894 3.5893 8.0691 Å, 98.89 99.48 90.12°
With the nearest neighbours (Å) after each atom.
Atoms (fractional coordinates):
Se: 0.3019 0.5743 0.2511  3 Se 2.41-2.66
Se: 0.8890 0.0578 0.3479  3 Se 2.41-2.66
N: 0.4989 0.7518 0.7376  1 N 1.11
N: 0.6584 0.9022 0.8597  1 N 1.11

***

ScTc2Os: relaxed, PBEsol.

* energy above the most stable polymorph in this dataset: 0 meV per atom
* theoretical density: 12.02 g/cm³
* size of the total moment: 0.0 Bohr magnetons per cell

Cell: 3.0518 4.3750 4.4630 Å, 90.00 90.00 90.00°
With the nearest neighbours (Å) after each atom.
Atoms (fractional coordinates):
Os: 0.5000 0.0000 0.5000  4 Sc 2.67, 4 Tc 2.70
Sc: 0.0000 0.5000 0.5000  4 Os 2.67, 4 Tc 2.70
Tc: 0.0000 0.0000 0.0000  4 Tc 2.67, 4 Os 2.70
Tc: 0.5000 0.5000 0.0000  4 Tc 2.67, 4 Sc 2.70

***

KCdAs2: relaxed, PBEsol.

* VASP energy: -12.650 eV/f.u.
* theoretical density: 4.29 g/cm³
* size of the total moment: 0.0 Bohr magnetons per cell

Cell: 5.0907 5.0907 9.6870 Å, 105.23 105.23 90.00°
With the nearest neighbours (Å) after each atom.
Atoms (fractional coordinates):
As: 0.2393 0.8750 0.2500  2 Cd 2.65, 2 As 2.80
As: 0.0107 0.3750 0.2500  2 Cd 2.65, 2 As 2.80
As: 0.1250 0.9893 0.7500  2 Cd 2.65, 2 As 2.80
As: 0.6250 0.7607 0.7500  2 Cd 2.65, 2 As 2.80
K: 0.7500 0.2500 0.5000  4 As 3.24, 4 Cd 3.60
K: 0.5000 0.5000 0.0000  4 As 3.24, 4 Cd 3.60
Cd: 0.2500 0.7500 0.5000  4 As 2.65
Cd: 0.0000 0.0000 0.0000  4 As 2.65

***

RbBaP2Cl: relaxed, PBEsol.

* VASP energy: -17.058 eV/f.u.
* theoretical density: 2.34 g/cm³
* size of the total moment: 4.0 Bohr magnetons per cell

Cell: 5.8987 6.2070 6.2070 Å, 90.00 90.00 90.00°
With the nearest neighbours (Å) after each atom.
Atoms (fractional coordinates):
P: 0.0000 0.0000 0.5000  2 Ba 3.10
P: 0.0000 0.5000 0.0000  2 Ba 3.10
Ba: 0.0000 0.0000 0.0000  2 Cl 2.95, 4 P 3.10
Rb: 0.5000 0.5000 0.5000  8 P 4.28, 4 Cl 4.39
Cl: 0.5000 0.0000 0.0000  2 Ba 2.95

***

ZnFeNi2: relaxed, PBEsol.

* VASP energy: -23.159 eV/f.u.
* theoretical density: 8.88 g/cm³
* size of the total moment: 3.3 Bohr magnetons per cell

Cell: 2.5427 4.1237 4.2580 Å, 90.00 90.00 90.00°
With the nearest neighbours (Å) after each atom.
Atoms (fractional coordinates):
Ni: 0.0000 0.0000 0.0580  4 Zn 2.47-2.49, 4 Fe 2.48, 4 Ni 2.54-2.58
Ni: 0.0000 0.5000 0.6938  4 Fe 2.46-2.50, 4 Zn 2.49, 4 Ni 2.54-2.58
Zn: 0.5000 0.0000 0.5606  8 Ni 2.47-2.49, 2 Zn 2.54, 2 Fe 2.60
Fe: 0.5000 0.5000 0.1876  8 Ni 2.46-2.50, 2 Fe 2.54, 2 Zn 2.60

***

BeTeW2: relaxed, PBEsol.

* VASP energy: -31.477 eV/f.u.
* theoretical density: 13.37 g/cm³
* size of the total moment: 0.0 Bohr magnetons per cell

Cell: 3.8588 3.8588 5.0137 Å, 112.63 112.63 90.00°
With the nearest neighbours (Å) after each atom.
Atoms (fractional coordinates):
Be: 0.5000 0.5000 0.0000  4 Te 2.73, 8 W 2.85
Te: 0.0000 0.0000 0.0000  4 Be 2.73, 8 W 2.85
W: 0.7500 0.2500 0.5000  4 W 2.73, 4 Te 2.85, 4 Be 2.85
W: 0.2500 0.7500 0.5000  4 W 2.73, 4 Te 2.85, 4 Be 2.85

***

V6SiOs: relaxed, PBEsol.

* VASP energy: -79.128 eV/f.u.
* theoretical density: 8.42 g/cm³
* size of the total moment: 0.0 Bohr magnetons per cell

Cell: 4.6931 4.6931 4.6931 Å, 90.00 90.00 90.00°
With the nearest neighbours (Å) after each atom.
Atoms (fractional coordinates):
V: 0.0000 0.5000 0.7504  2 V 2.34-2.35, 2 Si 2.62
V: 0.5000 0.2496 0.0000  2 V 2.34-2.35, 2 Si 2.62
V: 0.7504 0.0000 0.5000  2 V 2.34-2.35, 2 Si 2.62
V: 0.0000 0.5000 0.2496  2 V 2.34-2.35, 2 Si 2.62
V: 0.5000 0.7504 0.0000  2 V 2.34-2.35, 2 Si 2.62
V: 0.2496 0.0000 0.5000  2 V 2.34-2.35, 2 Si 2.62
Si: 0.0000 0.0000 0.0000  12 V 2.62
Os: 0.5000 0.5000 0.5000  12 V 2.62